[1]
DFT (PBE-GGA) results for a geometry-optimized SbTe structure.

CIF file:
```
data_SbTe
_chemical_formula_sum 'Sb6 Te6'
_symmetry_space_group_name_H-M 'P -3 m 1'
_symmetry_Int_Tables_number 164
_symmetry_space_group_name_Hall '-P 3 2"'
_cell_length_a 4.3541
_cell_length_b 4.3541
_cell_length_c 24.2867
_cell_angle_alpha 90.00
_cell_angle_beta 90.00
_cell_angle_gamma 120.00
loop_
_atom_site_label
_atom_site_type_symbol
_atom_site_fract_x
_atom_site_fract_y
_atom_site_fract_z
Sb1 Sb 0.0000 0.0000 0.1299
Sb2 Sb 0.3333 0.6667 0.4680
Sb3 Sb 0.3333 0.6667 0.7073
Te1 Te 0.0000 0.0000 0.3631
Te2 Te 0.3333 0.6667 0.2116
Te3 Te 0.3333 0.6667 0.9398
```

Output
uncorrected energy = -3.737 eV per atom
uncorrected formation energy = -105 meV per atom
calculated density = 6.2 Mg/m³
excess energy over the best structure of this formula in the dataset = 0.000 eV per atom
crystal system = trigonal

[2]
DFT (PBE-GGA) results for a geometry-optimized CdPt structure.

CIF file:
```
data_CdPt
_chemical_formula_sum 'Cd4 Pt4'
_symmetry_space_group_name_H-M 'F m -3 m'
_symmetry_Int_Tables_number 225
_symmetry_space_group_name_Hall '-F 4 2 3'
_cell_length_a 5.4683
_cell_length_b 5.4683
_cell_length_c 5.4683
_cell_angle_alpha 90.00
_cell_angle_beta 90.00
_cell_angle_gamma 90.00
loop_
_atom_site_label
_atom_site_type_symbol
_atom_site_fract_x
_atom_site_fract_y
_atom_site_fract_z
Cd1 Cd 0.0000 0.0000 0.0000
Pt1 Pt 0.0000 0.0000 0.5000
```

Output
uncorrected energy = -3.374 eV per atom
calculated density = 12.5 Mg/m³
energy relative to the elements = 103.8 meV per atom
crystal system = cubic

[3]
DFT (PBE-GGA) results for a geometry-optimized ScTeN3 structure.

CIF file:
```
data_ScTeN3
_chemical_formula_sum 'Sc1 Te1 N3'
_symmetry_space_group_name_H-M 'P m -3 m'
_symmetry_Int_Tables_number 221
_symmetry_space_group_name_Hall '-P 4 2 3'
_cell_length_a 4.1406
_cell_length_b 4.1406
_cell_length_c 4.1406
_cell_angle_alpha 90.00
_cell_angle_beta 90.00
_cell_angle_gamma 90.00
loop_
_atom_site_label
_atom_site_type_symbol
_atom_site_fract_x
_atom_site_fract_y
_atom_site_fract_z
Sc1 Sc 0.0000 0.0000 0.0000
Te1 Te 0.5000 0.5000 0.5000
N1 N 0.0000 0.0000 0.5000
```

Output
uncorrected energy = -5.774 eV per atom
uncorrected formation energy = 1116 meV per atom
calculated density = 5.0 Mg/m³
crystal system = cubic

[4]
DFT (PBE-GGA) results for a geometry-optimized NdScTeS structure.

CIF file:
```
data_NdScTeS
_chemical_formula_sum 'Nd3 Sc3 Te3 S3'
_symmetry_space_group_name_H-M 'R 3 m'
_symmetry_Int_Tables_number 160
_symmetry_space_group_name_Hall 'R 3 -2"'
_cell_length_a 4.0454
_cell_length_b 4.0454
_cell_length_c 20.7562
_cell_angle_alpha 90.00
_cell_angle_beta 90.00
_cell_angle_gamma 120.00
loop_
_atom_site_label
_atom_site_type_symbol
_atom_site_fract_x
_atom_site_fract_y
_atom_site_fract_z
Nd1 Nd 0.0000 0.0000 0.0000
Sc1 Sc 0.0000 0.0000 0.5317
Te1 Te 0.0000 0.0000 0.7735
S1 S 0.0000 0.0000 0.2552
```

Output
uncorrected energy = -6.200 eV per atom
uncorrected formation energy = -1608 meV per atom
calculated density = 5.9 Mg/m³
crystal system = trigonal

[5]
DFT (PBE-GGA) results for a geometry-optimized Sr2LiLaTa structure.

CIF file:
```
data_Sr2LiLaTa
_chemical_formula_sum 'Sr2 Li1 La1 Ta1'
_symmetry_space_group_name_H-M 'P 4/m m m'
_symmetry_Int_Tables_number 123
_symmetry_space_group_name_Hall '-P 4 2'
_cell_length_a 6.1037
_cell_length_b 6.1037
_cell_length_c 4.8116
_cell_angle_alpha 90.00
_cell_angle_beta 90.00
_cell_angle_gamma 90.00
loop_
_atom_site_label
_atom_site_type_symbol
_atom_site_fract_x
_atom_site_fract_y
_atom_site_fract_z
Sr1 Sr 0.0000 0.5000 0.0000
Li1 Li 0.0000 0.0000 0.5000
La1 La 0.0000 0.0000 0.0000
Ta1 Ta 0.5000 0.5000 0.5000
```

Output
uncorrected energy = -2.706 eV per atom
calculated density = 4.7 Mg/m³
energy relative to the elements = 1705.8 meV per atom
crystal system = tetragonal

[6]
DFT (PBE-GGA) results for a geometry-optimized Sr2MgHgPt structure.

CIF file:
```
data_Sr2MgHgPt
_chemical_formula_sum 'Sr2 Mg1 Hg1 Pt1'
_symmetry_space_group_name_H-M 'P 4/m m m'
_symmetry_Int_Tables_number 123
_symmetry_space_group_name_Hall '-P 4 2'
_cell_length_a 5.8364
_cell_length_b 5.8364
_cell_length_c 5.0866
_cell_angle_alpha 90.00
_cell_angle_beta 90.00
_cell_angle_gamma 90.00
loop_
_atom_site_label
_atom_site_type_symbol
_atom_site_fract_x
_atom_site_fract_y
_atom_site_fract_z
Sr1 Sr 0.0000 0.5000 0.0000
Mg1 Mg 0.0000 0.0000 0.5000
Hg1 Hg 0.5000 0.5000 0.5000
Pt1 Pt 0.0000 0.0000 0.0000
```

Output
uncorrected energy = -2.767 eV per atom
calculated density = 5.7 Mg/m³
energy relative to the elements = -506.7 meV per atom
crystal system = tetragonal

[7]
DFT (PBE-GGA) results for a geometry-optimized MgTi3 structure.

CIF file:
```
data_MgTi3
_chemical_formula_sum 'Mg2 Ti6'
_symmetry_space_group_name_H-M 'P 63/m m c'
_symmetry_Int_Tables_number 194
_symmetry_space_group_name_Hall '-P 6c 2c'
_cell_length_a 5.9190
_cell_length_b 5.9190
_cell_length_c 4.7354
_cell_angle_alpha 90.00
_cell_angle_beta 90.00
_cell_angle_gamma 120.00
loop_
_atom_site_label
_atom_site_type_symbol
_atom_site_fract_x
_atom_site_fract_y
_atom_site_fract_z
Mg1 Mg 0.3333 0.6667 0.2500
Ti1 Ti 0.1652 0.3304 0.7500
```

Output
uncorrected energy = -6.172 eV per atom
calculated density = 3.9 Mg/m³
energy relative to the elements = 147.5 meV per atom
crystal system = hexagonal

[8]
DFT (PBE-GGA) results for a geometry-optimized NbSb3N structure.

CIF file:
```
data_NbSb3N
_chemical_formula_sum 'Nb1 Sb3 N1'
_symmetry_space_group_name_H-M 'P m -3 m'
_symmetry_Int_Tables_number 221
_symmetry_space_group_name_Hall '-P 4 2 3'
_cell_length_a 5.3489
_cell_length_b 5.3489
_cell_length_c 5.3489
_cell_angle_alpha 90.00
_cell_angle_beta 90.00
_cell_angle_gamma 90.00
loop_
_atom_site_label
_atom_site_type_symbol
_atom_site_fract_x
_atom_site_fract_y
_atom_site_fract_z
Nb1 Nb 0.0000 0.0000 0.0000
Sb1 Sb 0.0000 0.0000 0.5000
N1 N 0.5000 0.5000 0.5000
```

Output
uncorrected energy = -4.898 eV per atom
uncorrected formation energy = 1254 meV per atom
calculated density = 5.1 Mg/m³
excess energy over the best structure of this formula in the dataset = 0.598 eV per atom
crystal system = cubic